Entry 1:
Below is AcEr2CdHg4 after structural relaxation, with properties calculated at the GGA-PBE level.

Formation enthalpy at 0 K (meV/atom): -384
Final energy (eV per cell): -55.28

Geometry as CIF:
```
data_AcEr2CdHg4
_cell_length_a 5.0775
_cell_length_b 5.0775
_cell_length_c 29.1804
_cell_angle_alpha 90.00
_cell_angle_beta 90.00
_cell_angle_gamma 120.00
_space_group_name_H-M_alt 'R -3 m'
_space_group_IT_number 166
_space_group_name_Hall '-R 3 2"'
loop_
_atom_site_label
_atom_site_type_symbol
_atom_site_fract_x
_atom_site_fract_y
_atom_site_fract_z
Ac1 Ac 0.0000 0.0000 0.0000
Er1 Er 0.0000 0.0000 0.2336
Cd1 Cd 0.0000 0.0000 0.5000
Hg1 Hg 0.0000 0.0000 0.1247
Hg2 Hg 0.0000 0.0000 0.3913
```



Entry 2:
Below is Zr7Zn2Fe2 after structural relaxation, with properties calculated at the GGA-PBE level.

Formation enthalpy at 0 K (meV/atom): 51
Final energy (eV per cell): -157.49

Geometry as CIF:
```
data_Zr7Zn2Fe2
_cell_length_a 7.248
_cell_length_b 9.978
_cell_length_c 6.346
_cell_angle_alpha 90.00
_cell_angle_beta 90.00
_cell_angle_gamma 90.00
_space_group_name_H-M_alt 'C m m m'
_space_group_IT_number 65
_space_group_name_Hall '-C 2 2'
loop_
_atom_site_label
_atom_site_type_symbol
_atom_site_fract_x
_atom_site_fract_y
_atom_site_fract_z
Zr1 Zr 0.000 0.000 0.000
Zr2 Zr 0.000 0.500 0.252
Zr3 Zr 0.250 0.250 0.253
Zn1 Zn 0.168 0.000 0.500
Fe1 Fe 0.000 0.288 0.000
```



Entry 3:
Below is TlReSi2 after structural relaxation, with properties calculated at the GGA-PBE level.

E above lowest polymorph (eV per formula unit): 3.23
Final energy (eV per cell): -43.51
Formation energy without anion corrections (eV/atom): 0.976

Geometry as CIF:
```
data_TlReSi2
_cell_length_a 4.043
_cell_length_b 4.043
_cell_length_c 8.174
_cell_angle_alpha 90.00
_cell_angle_beta 90.00
_cell_angle_gamma 90.00
_space_group_name_H-M_alt 'I -4 m 2'
_space_group_IT_number 119
_space_group_name_Hall 'I -4 -2'
loop_
_atom_site_label
_atom_site_type_symbol
_atom_site_fract_x
_atom_site_fract_y
_atom_site_fract_z
Tl1 Tl 0.000 0.000 0.000
Re1 Re 0.000 0.500 0.750
Si1 Si 0.000 0.000 0.500
Si2 Si 0.000 0.500 0.250
```



Entry 4:
Below is CePaSnBi after structural relaxation, with properties calculated at the GGA-PBE level.

Formation enthalpy at 0 K (meV/atom): -276
Final energy (eV per cell): -97.67

Geometry as CIF:
```
data_CePaSnBi
_cell_length_a 7.676
_cell_length_b 7.676
_cell_length_c 7.676
_cell_angle_alpha 90.00
_cell_angle_beta 90.00
_cell_angle_gamma 90.00
_space_group_name_H-M_alt 'F -4 3 m'
_space_group_IT_number 216
_space_group_name_Hall 'F -4 2 3'
loop_
_atom_site_label
_atom_site_type_symbol
_atom_site_fract_x
_atom_site_fract_y
_atom_site_fract_z
Ce1 Ce 0.000 0.000 0.000
Pa1 Pa 0.000 0.000 0.500
Sn1 Sn 0.250 0.250 0.250
Bi1 Bi 0.250 0.250 0.750
```



Entry 5:
Below is Ce2PuTl2 after structural relaxation, with properties calculated at the GGA-PBE level.

E above lowest polymorph (eV per formula unit): 0.00
Formation enthalpy at 0 K (meV/atom): -74
Final energy (eV per cell): -125.20

Geometry as CIF:
```
data_Ce2PuTl2
_cell_length_a 3.931
_cell_length_b 22.691
_cell_length_c 6.317
_cell_angle_alpha 90.00
_cell_angle_beta 90.00
_cell_angle_gamma 90.00
_space_group_name_H-M_alt 'C m c 21'
_space_group_IT_number 36
loop_
_space_group_symop_operation_xyz
'x,y,z'
'-x,-y,z+1/2'
'-x,y,z'
'x,-y,z+1/2'
'x+1/2,y+1/2,z'
'-x+1/2,-y+1/2,z+1/2'
'-x+1/2,y+1/2,z'
'x+1/2,-y+1/2,z+1/2'
loop_
_atom_site_label
_atom_site_type_symbol
_atom_site_fract_x
_atom_site_fract_y
_atom_site_fract_z
Ce1 Ce 0.000 0.104 0.000
Ce2 Ce 0.000 0.345 0.976
Pu1 Pu 0.000 0.082 0.395
Tl1 Tl 0.000 0.275 0.471
Tl2 Tl 0.000 0.486 0.197
```



Entry 6:
Below is Ba5Tl2Hg after structural relaxation, with properties calculated at the GGA-PBE level.

Formation enthalpy at 0 K (meV/atom): -278
Final energy (eV per cell): -33.74

Geometry as CIF:
```
data_Ba5Tl2Hg
_cell_length_a 10.174
_cell_length_b 16.125
_cell_length_c 4.626
_cell_angle_alpha 90.00
_cell_angle_beta 90.00
_cell_angle_gamma 90.00
_space_group_name_H-M_alt 'P b a m'
_space_group_IT_number 55
loop_
_space_group_symop_operation_xyz
'x,y,z'
'-x,-y,-z'
'-x,-y,z'
'x,y,-z'
'x+1/2,-y+1/2,-z'
'-x+1/2,y+1/2,z'
'-x+1/2,y+1/2,-z'
'x+1/2,-y+1/2,z'
loop_
_atom_site_label
_atom_site_type_symbol
_atom_site_fract_x
_atom_site_fract_y
_atom_site_fract_z
Ba1 Ba 0.000 0.000 0.000
Ba2 Ba 0.180 0.397 0.500
Ba3 Ba 0.188 0.686 0.000
Tl1 Tl 0.019 0.181 0.500
Hg1 Hg 0.000 0.500 0.000
```